1.
! ErTm2Ga, optimized geometry, DFT PBE-GGA; values from VASP
! - E above lowest polymorph (meV/atom) = 1
! - total DFT energy (no corrections) (eV per atom) = -4.418
! - energy of formation from the pure elements (eV/atom) = -0.2853
&SYSTEM
  ibrav = 0, nat = 4, ntyp = 3
/
ATOMIC_SPECIES
Er 167.26 Er.upf
Tm 168.93 Tm.upf
Ga 69.72 Ga.upf
ATOMIC_POSITIONS crystal
Er 0.000 0.000 0.000
Tm 0.500 0.500 0.290
Tm 0.500 0.500 0.710
Ga 0.000 0.000 0.500
CELL_PARAMETERS angstrom
3.474 0.000 0.000
0.000 3.474 0.000
0.000 0.000 8.766

---

2.
! KSnPd4, optimized geometry, DFT PBE-GGA; values from VASP
! - total DFT energy (no corrections) (eV per atom) = -4.480
! - energy of formation from the pure elements (eV/atom) = -0.1676
&SYSTEM
  ibrav = 0, nat = 12, ntyp = 3
/
ATOMIC_SPECIES
K 39.10 K.upf
Sn 118.71 Sn.upf
Pd 106.42 Pd.upf
ATOMIC_POSITIONS crystal
K 0.250 0.000 0.131
K 0.750 0.000 0.869
Sn 0.250 0.000 0.711
Sn 0.750 0.000 0.289
Pd 0.000 0.000 0.500
Pd 0.045 0.500 0.728
Pd 0.250 0.500 0.453
Pd 0.455 0.500 0.728
Pd 0.500 0.000 0.500
Pd 0.545 0.500 0.272
Pd 0.750 0.500 0.547
Pd 0.955 0.500 0.272
CELL_PARAMETERS angstrom
7.997 0.000 0.000
0.000 4.158 0.000
0.000 0.000 8.261

---

3.
! ScReB2Sb, optimized geometry, DFT PBE-GGA; values from VASP
! - energy relative to the elements, uncorrected (eV per atom) = 2.21
! - total DFT energy (no corrections) (eV per atom) = -5.046
&SYSTEM
  ibrav = 0, nat = 5, ntyp = 4
/
ATOMIC_SPECIES
Sc 44.96 Sc.upf
Re 186.21 Re.upf
B 10.81 B.upf
Sb 121.76 Sb.upf
ATOMIC_POSITIONS crystal
Sc 0.000 0.000 0.000
Re 0.500 0.500 0.500
B 0.000 0.500 0.000
B 0.500 0.000 0.000
Sb 0.000 0.000 0.500
CELL_PARAMETERS angstrom
4.187 0.000 0.000
0.000 4.187 0.000
0.000 0.000 5.261

---

Number 1: V 26.45 Å³/atom. Number 2: V 22.89 Å³/atom. Number 3: V 18.45 Å³/atom.